# 1
Density functional theory data (PBE-GGA) for a relaxed BaRe2Br crystal.

Results
Theoretical density (g/cm³): 10.65
Space group: Amm2 (38)
Magnetization (μB per formula unit): 0.0
DOS(E_F) (states/eV/atom): 0.700
Total energy (eV per formula unit): -27.41

Cell lengths 3.2695, 3.2857, 8.7111 Å; angles 79.14, 90.00, 90.00 degrees
Fractional positions:
Re  0.5000  0.2186  0.1879
Re  0.0000  0.7865  0.0513
Ba  0.0000  0.5688  0.4883
Br  0.5000  0.9262  0.7725



# 2
Density functional theory data (PBE-GGA) for a relaxed Sm3Ni5Se12 crystal.

Results
Theoretical density (g/cm³): 6.24
Space group: Ia-3d (230)
Magnetization (μB per formula unit): 0.0
DOS(E_F) (states/eV/atom): 0.908
Total energy (eV per formula unit): -99.63

Cell lengths 13.2730, 13.2730, 13.2730 Å; angles 109.47, 109.47, 109.47 degrees
Fractional positions:
Se  0.7994  0.4758  0.3847
Se  0.4147  0.1153  0.5911
Se  0.0911  0.1764  0.4758
Se  0.7006  0.1153  0.0242
Se  0.5911  0.9758  0.6764
Se  0.5242  0.2006  0.1153
Se  0.6764  0.4758  0.5911
Se  0.9758  0.3847  0.2994
Se  0.8847  0.2994  0.4758
Se  0.3847  0.4089  0.0853
Se  0.5853  0.7006  0.6764
Se  0.8236  0.9147  0.2994
Se  0.4089  0.3847  0.5853
Se  0.2006  0.5242  0.6153
Se  0.1764  0.0853  0.7006
Se  0.2994  0.8847  0.9758
Se  0.0911  0.9147  0.1153
Se  0.9147  0.0911  0.6153
Se  0.9089  0.8236  0.5242
Se  0.8847  0.5853  0.9089
Se  0.8236  0.9089  0.0242
Se  0.5242  0.3236  0.9089
Se  0.2994  0.4147  0.8236
Se  0.6153  0.0242  0.2006
Se  0.5853  0.8847  0.4089
Se  0.1153  0.4147  0.0911
Se  0.3236  0.7994  0.4147
Se  0.0242  0.4089  0.8236
Se  0.2006  0.6764  0.0853
Se  0.4089  0.0242  0.3236
Se  0.0853  0.9089  0.3847
Se  0.7006  0.5853  0.1764
Se  0.7994  0.3236  0.9147
Se  0.3236  0.5242  0.4089
Se  0.9147  0.8236  0.7994
Se  0.4147  0.2994  0.3236
Se  0.3847  0.9758  0.7994
Se  0.9089  0.0853  0.8847
Se  0.4758  0.6764  0.0911
Se  0.6764  0.2006  0.5853
Se  0.6153  0.5911  0.9147
Se  0.0853  0.1764  0.2006
Se  0.9758  0.5911  0.1764
Se  0.1764  0.0911  0.9758
Se  0.4758  0.7994  0.8847
Se  0.1153  0.7006  0.5242
Se  0.5911  0.6153  0.4147
Se  0.0242  0.6153  0.7006
Ni  0.1250  0.3750  0.2500
Ni  0.5000  0.0000  0.0000
Ni  0.3750  0.2500  0.1250
Ni  0.6250  0.8750  0.2500
Ni  0.8750  0.2500  0.6250
Ni  0.0000  0.0000  0.5000
Ni  0.3750  0.1250  0.7500
Ni  0.8750  0.6250  0.7500
Ni  0.5000  0.0000  0.5000
Ni  0.2500  0.8750  0.1250
Ni  0.5000  0.5000  0.0000
Ni  0.5000  0.5000  0.5000
Ni  0.0000  0.5000  0.0000
Ni  0.1250  0.7500  0.3750
Ni  0.6250  0.7500  0.8750
Ni  0.0000  0.0000  0.0000
Ni  0.7500  0.1250  0.8750
Ni  0.0000  0.5000  0.5000
Ni  0.7500  0.6250  0.3750
Ni  0.2500  0.3750  0.6250
Sm  0.2500  0.1250  0.3750
Sm  0.7500  0.8750  0.6250
Sm  0.2500  0.6250  0.8750
Sm  0.1250  0.8750  0.7500
Sm  0.8750  0.7500  0.1250
Sm  0.6250  0.3750  0.7500
Sm  0.7500  0.3750  0.1250
Sm  0.6250  0.2500  0.3750
Sm  0.8750  0.1250  0.2500
Sm  0.3750  0.7500  0.6250
Sm  0.1250  0.2500  0.8750
Sm  0.3750  0.6250  0.2500



# 3
Density functional theory data (PBE-GGA) for a relaxed Pm3TmNi crystal.

Results
Theoretical density (g/cm³): 6.89
Space group: Pm-3m (221)
Magnetization (μB per formula unit): 1.0
DOS(E_F) (states/eV/atom): 2.223
ΔE_f (eV per atom): 0.061

Cell lengths 5.4250, 5.4250, 5.4250 Å; angles 90.00, 90.00, 90.00 degrees
Each line ends with the local moment (μB).
Fractional positions:
Pm  0.5000  0.0000  0.0000  0.10
Pm  0.0000  0.5000  0.0000  0.10
Pm  0.0000  0.0000  0.5000  0.10
Ni  0.0000  0.0000  0.0000  0.07
Tm  0.5000  0.5000  0.5000  0.23



# 4
Density functional theory data (PBE-GGA) for a relaxed CsSrZr2C crystal.

Results
Theoretical density (g/cm³): 3.80
Space group: P4/mmm (123)
Magnetization (μB per formula unit): 1.2
DOS(E_F) (states/eV/atom): 1.221
ΔE_f (eV per atom): 2.979

Cell lengths 5.3965, 6.2319, 5.3965 Å; angles 90.00, 90.00, 90.00 degrees
Each line ends with the local moment (μB).
Fractional positions:
Sr  0.0000  0.0000  0.0000  -0.04
C  0.5000  0.5000  0.5000  0.84
Zr  0.5000  0.0000  0.0000  -0.10
Zr  0.0000  0.0000  0.5000  -0.25
Cs  0.0000  0.5000  0.0000  0.01



# 5
Density functional theory data (PBE-GGA) for a relaxed SrHPd2 crystal.

Results
Theoretical density (g/cm³): 7.21
Space group: R-3m (166)
Magnetization (μB per formula unit): 0.3
DOS(E_F) (states/eV/atom): 0.422
Total energy (eV per formula unit): -14.29

Cell lengths 3.2379, 3.2379, 7.8745 Å; angles 78.14, 78.14, 60.00 degrees
Each line ends with the local moment (μB).
Fractional positions:
Pd  0.8786  0.8786  0.3643  0.01
Pd  0.1214  0.1214  0.6357  0.01
H  0.5000  0.5000  0.5000  0.00
Sr  0.0000  0.0000  0.0000  0.12



# 6
Density functional theory data (PBE-GGA) for a relaxed Dy4YTe2 crystal.

Results
Theoretical density (g/cm³): 7.30
Space group: R-3m (166)
Magnetization (μB per formula unit): 0.0
DOS(E_F) (states/eV/atom): 0.876
Total energy (eV per formula unit): -34.67

Cell lengths 5.4344, 5.4344, 9.3785 Å; angles 73.16, 73.16, 60.00 degrees
Fractional positions:
Te  0.3832  0.3832  0.8505
Te  0.6168  0.6168  0.1495
Dy  0.8664  0.8664  0.4008
Dy  0.2653  0.2653  0.2040
Dy  0.7347  0.7347  0.7960
Dy  0.1336  0.1336  0.5992
Y  0.5000  0.5000  0.5000



# 7
Density functional theory data (PBE-GGA) for a relaxed Ta2CoSe crystal.

Results
Theoretical density (g/cm³): 13.32
Space group: P4/mmm (123)
Magnetization (μB per formula unit): 0.9
DOS(E_F) (states/eV/atom): 1.238
Total energy (eV per formula unit): -34.10

Cell lengths 3.0355, 4.5304, 4.5304 Å; angles 90.00, 90.00, 90.00 degrees
Each line ends with the local moment (μB).
Fractional positions:
Ta  0.0000  0.0000  0.0000  0.03
Ta  0.0000  0.5000  0.5000  0.03
Se  0.5000  0.0000  0.5000  0.01
Co  0.5000  0.5000  0.0000  0.83



# 8
Density functional theory data (PBE-GGA) for a relaxed MnBeTl2 crystal.

Results
Theoretical density (g/cm³): 9.81
Space group: R-3m (166)
Magnetization (μB per formula unit): 4.1
DOS(E_F) (states/eV/atom): 0.521
ΔE_f (eV per atom): 0.653

Cell lengths 8.7649, 8.7649, 8.7649 Å; angles 21.61, 21.61, 21.61 degrees
Each line ends with the local moment (μB).
Fractional positions:
Mn  0.7500  0.7500  0.7500  3.88
Tl  0.9938  0.9938  0.9938  -0.01
Tl  0.5062  0.5062  0.5062  -0.01
Be  0.2500  0.2500  0.2500  0.00



Question: Among the records above, which one has the highest magnetization?
Answer: MnBeTl2



Copy entry 6 word for word.
Density functional theory data (PBE-GGA) for a relaxed Dy4YTe2 crystal.

Results
Theoretical density (g/cm³): 7.30
Space group: R-3m (166)
Magnetization (μB per formula unit): 0.0
DOS(E_F) (states/eV/atom): 0.876
Total energy (eV per formula unit): -34.67

Cell lengths 5.4344, 5.4344, 9.3785 Å; angles 73.16, 73.16, 60.00 degrees
Fractional positions:
Te  0.3832  0.3832  0.8505
Te  0.6168  0.6168  0.1495
Dy  0.8664  0.8664  0.4008
Dy  0.2653  0.2653  0.2040
Dy  0.7347  0.7347  0.7960
Dy  0.1336  0.1336  0.5992
Y  0.5000  0.5000  0.5000